Entry from Alexandria: a geometry-optimized Ca2NdTl5 structure (PBE).

Calculated values
E_form, eV per formula unit: -2.51

Cell lengths 5.1765, 5.1765, 17.3589 Å; angles 90.00, 90.00, 90.00 degrees
With the nearest neighbours (Å) after each atom.
Space group I4/mmm (No. 139)
Symmetry-distinct sites (fractional):
Ca (0.0000, 0.0000, 0.2491)  8 Tl 3.34-3.36, 4 Ca 3.66
Nd (0.0000, 0.0000, 0.0000)  12 Tl 3.40-3.66
Tl (0.0000, 0.0000, 0.5000)  8 Tl 3.40, 4 Nd 3.66
Tl (0.0000, 0.5000, 0.1273)  4 Ca 3.34-3.36, 6 Tl 3.40-3.66, 2 Nd 3.40

=====

Entry from Alexandria: a geometry-optimized PuUAs structure (PBE).

Calculated values
E_form, eV per formula unit: -1.27
Energy above the lowest structure with this stoichiometry, eV/f.u.: 0.000

Cell lengths 4.9517, 4.9517, 5.8814 Å; angles 90.00, 90.00, 120.00 degrees
With the nearest neighbours (Å) after each atom.
Space group P6_3/mmc (No. 194)
Symmetry-distinct sites (fractional):
Pu (0.3333, 0.6667, 0.2500)  5 As 2.86-2.94
U (0.0000, 0.0000, 0.0000)  2 U 2.94, 6 As 3.21, 6 Pu 3.21
As (0.3333, 0.6667, 0.7500)  5 Pu 2.86-2.94

=====

Entry from Alexandria: a geometry-optimized SnBiN2F structure (PBE).

Calculated values
ΔE_f (raw), eV/atom: 0.139
Energy above the lowest structure with this stoichiometry, eV/f.u.: 0.000

Cell lengths 4.2306, 4.2306, 4.0955 Å; angles 90.00, 90.00, 90.00 degrees
With the nearest neighbours (Å) after each atom.
Space group P4/mmm (No. 123)
Symmetry-distinct sites (fractional):
Sn (0.0000, 0.0000, 0.0000)  2 F 2.05, 4 N 2.12
Bi (0.5000, 0.5000, 0.5000)  8 N 2.94, 4 F 2.99
N (0.0000, 0.5000, 0.0000)  2 Sn 2.12
F (0.0000, 0.0000, 0.5000)  2 Sn 2.05

=====

Entry from Alexandria: a geometry-optimized IrOs2W structure (PBE).

Calculated values
E_form, eV per formula unit: 0.05
Energy above the lowest structure with this stoichiometry, eV/f.u.: 0.541

Cell lengths 5.5293, 7.7363, 2.7679 Å; angles 90.00, 90.00, 90.00 degrees
With the nearest neighbours (Å) after each atom.
Space group Cmmm (No. 65)
Symmetry-distinct sites (fractional):
Ir (0.0000, 0.0000, 0.0000)  8 Os 2.75, 2 W 2.76, 2 Ir 2.77
Os (0.2500, 0.2500, 0.5000)  4 W 2.75, 4 Ir 2.75, 4 Os 2.76-2.77
W (0.0000, 0.5000, 0.0000)  8 Os 2.75, 2 Ir 2.76, 2 W 2.77

=====

Entry from Alexandria: a geometry-optimized YRe2As structure (PBE).

Calculated values
E_form, eV per formula unit: 1.30

Cell lengths 3.1120, 3.1120, 26.1731 Å; angles 90.00, 90.00, 120.00 degrees
With the nearest neighbours (Å) after each atom.
Space group R3m (No. 160, hexagonal axes)
Symmetry-distinct sites (fractional):
Y (0.0000, 0.0000, 0.0000)  3 Re 2.94, 6 Y 3.11, 3 As 3.13
Re (0.0000, 0.0000, 0.4999)  3 As 2.54, 3 Re 2.71
Re (0.0000, 0.0000, 0.7557)  3 Re 2.71, 3 Y 2.94
As (0.0000, 0.0000, 0.2352)  3 Re 2.54

=====

Entry from Alexandria: a geometry-optimized Tb8Sm2In structure (PBE).

Calculated values
E_form, eV per formula unit: 0.04
Energy above the lowest structure with this stoichiometry, eV/f.u.: 0.744

Cell lengths 5.4500, 7.6218, 17.2146 Å; angles 90.00, 90.00, 90.00 degrees
With the nearest neighbours (Å) after each atom.
Space group Immm (No. 71)
Symmetry-distinct sites (fractional):
Tb (0.0000, 0.0000, 0.1787)  8 Tb 3.49-3.65, 4 Sm 3.50-3.82
Tb (0.0000, 0.2297, 0.3632)  1 In 3.13, 2 Sm 3.38, 3 Tb 3.49-3.50
Tb (0.0000, 0.2587, 0.0000)  2 In 3.36, 7 Tb 3.60-3.68
Sm (0.0000, 0.5000, 0.1934)  8 Tb 3.38-3.58
In (0.0000, 0.5000, 0.5000)  8 Tb 3.13-3.36

=====

Number 1: Fermi-level density of states 8.93 states/eV/cell, final energy -46.22 eV for the cell shown. Number 2: Fermi-level density of states 9.27 states/eV/cell, final energy -63.08 eV for the cell shown. Number 3: Fermi-level density of states 0.82 states/eV/cell, final energy -25.71 eV for the cell shown. Number 4: Fermi-level density of states 6.82 states/eV/cell, final energy -88.45 eV for the cell shown. Number 5: Fermi-level density of states 11.01 states/eV/cell, final energy -104.14 eV for the cell shown. Number 6: Fermi-level density of states 28.77 states/eV/cell, final energy -98.35 eV for the cell shown.